Computed, not measured: a relaxed La2PmSmTl2 crystal at the GGA-PBE level of DFT.

Summary:
Total energy, eV per atom: -4.300

Unit cell a=5.2173 b=10.4815 c=6.9351 alpha=90.00 beta=90.00 gamma=90.00
Atoms (fractional coordinates):
La (0.0000, 0.0572, 0.0000)
La (0.0000, 0.9428, 0.5000)
La (0.5000, 0.1794, 0.2185)
La (0.5000, 0.8206, 0.7185)
Pm (0.0000, 0.3090, 0.5866)
Pm (0.0000, 0.6910, 0.0866)
Sm (0.5000, 0.4582, 0.8617)
Sm (0.5000, 0.5418, 0.3617)
Tl (0.0000, 0.3811, 0.1217)
Tl (0.0000, 0.6189, 0.6217)
Tl (0.5000, 0.1426, 0.7067)
Tl (0.5000, 0.8574, 0.2067)

Computed, not measured: a relaxed LaPmSmTl crystal at the GGA-PBE level of DFT.

Summary:
Distance to the lowest polymorph of the same formula, eV per formula unit: 0.10

Unit cell a=7.9035 b=7.9035 c=7.9035 alpha=90.00 beta=90.00 gamma=90.00
Atoms (fractional coordinates):
La (0.0000, 0.0000, 0.0000)
La (0.0000, 0.5000, 0.5000)
La (0.5000, 0.0000, 0.5000)
La (0.5000, 0.5000, 0.0000)
Pm (0.2500, 0.2500, 0.7500)
Pm (0.2500, 0.7500, 0.2500)
Pm (0.7500, 0.2500, 0.2500)
Pm (0.7500, 0.7500, 0.7500)
Sm (0.2500, 0.2500, 0.2500)
Sm (0.2500, 0.7500, 0.7500)
Sm (0.7500, 0.2500, 0.7500)
Sm (0.7500, 0.7500, 0.2500)
Tl (0.0000, 0.0000, 0.5000)
Tl (0.0000, 0.5000, 0.0000)
Tl (0.5000, 0.0000, 0.0000)
Tl (0.5000, 0.5000, 0.5000)

Computed, not measured: a relaxed La2Pm3Sm6Tl crystal at the GGA-PBE level of DFT.

Summary:
Total energy, eV per atom: -4.605

Unit cell a=6.2431 b=6.2431 c=12.0127 alpha=95.00 beta=95.00 gamma=120.04
Atoms (fractional coordinates):
La (0.1664, 0.8336, 0.0000)
La (0.8336, 0.1664, 0.0000)
Pm (0.0000, 0.0000, 0.5000)
Pm (0.3320, 0.6680, 0.5000)
Pm (0.6680, 0.3320, 0.5000)
Sm (0.0910, 0.4167, 0.7509)
Sm (0.2583, 0.2583, 0.2501)
Sm (0.4167, 0.0910, 0.7509)
Sm (0.5833, 0.9090, 0.2491)
Sm (0.7417, 0.7417, 0.7499)
Sm (0.9090, 0.5833, 0.2491)
Tl (0.5000, 0.5000, 0.0000)

- Which formula does entry 1 have?
  La2PmSmTl2